(1)
Below is an optimized crystal structure of RbBiSI2, with properties calculated at the PBE level.

a b c (Å): 6.0941 5.5000 6.0941
angles (deg): 90.00 90.00 90.00
Closest atoms and distances in Å follow each position.
Element x y z (fractional)
Rb1 0.5000 0.5000 0.5000  8 I 4.10, 4 Bi 4.31
S1 0.0000 0.0000 0.0000  2 Bi 2.75, 4 I 3.05
I1 0.5000 0.0000 0.0000  2 S 3.05
I2 0.0000 0.0000 0.5000  2 S 3.05
Bi1 0.0000 0.5000 0.0000  2 S 2.75

Values from the calculation:
- electronic total energy (eV/atom) = -2.589
- space-group type = P4/mmm, No. 123
- density of states at the Fermi level (states/eV/atom) = 0.61
- energy relative to the lowest polymorph listed for this composition (meV/atom) = 472
- size of the total moment (μB/cell) = 1.86

(2)
Below is an optimized crystal structure of Rb2BiSI6, with properties calculated at the PBE level.

a b c (Å): 8.6848 8.6848 8.4995
angles (deg): 59.28 59.28 90.00
Closest atoms and distances in Å follow each position.
Element x y z (fractional)
I1 0.7490 0.7490 0.0000  1 S 3.06, 1 Bi 3.08
I2 0.2628 0.2628 0.4743  1 S 2.79, 1 Bi 3.09
I3 0.2510 0.7490 0.0000  1 S 3.06, 1 Bi 3.08
I4 0.7372 0.7372 0.5257  1 S 2.79, 1 Bi 3.09
I5 0.2510 0.2510 0.0000  1 S 3.06, 1 Bi 3.08
I6 0.7490 0.2510 0.0000  1 S 3.06, 1 Bi 3.08
S1 0.5000 0.5000 0.0000  6 I 2.79-3.06
Bi1 0.0000 0.0000 0.0000  6 I 3.08-3.09
Rb1 0.2500 0.7500 0.5000  12 I 4.25-4.34
Rb2 0.7500 0.2500 0.5000  12 I 4.25-4.34

Values from the calculation:
- electronic total energy (eV/atom) = -2.521
- space-group type = I4/mmm, No. 139
- density of states at the Fermi level (states/eV/atom) = 0.45
- size of the total moment (μB/cell) = 0.00

(3)
Below is an optimized crystal structure of RbBiSb2I, with properties calculated at the PBE level.

a b c (Å): 5.8839 5.8839 6.7377
angles (deg): 90.00 90.00 90.00
Closest atoms and distances in Å follow each position.
Element x y z (fractional)
I1 0.0000 0.0000 0.5000  2 Bi 3.37
Sb1 0.5000 0.0000 0.0000  2 Bi 2.94
Sb2 0.0000 0.5000 0.0000  2 Bi 2.94
Rb1 0.5000 0.5000 0.5000  4 I 4.16, 8 Sb 4.47
Bi1 0.0000 0.0000 0.0000  4 Sb 2.94

Values from the calculation:
- electronic total energy (eV/atom) = -2.861
- space-group type = P4/mmm, No. 123
- density of states at the Fermi level (states/eV/atom) = 0.78
- energy relative to the lowest polymorph listed for this composition (meV/atom) = 0
- size of the total moment (μB/cell) = 1.05

(4)
Below is an optimized crystal structure of Rb2BiSbI6, with properties calculated at the PBE level.

a b c (Å): 8.8106 8.8106 8.8566
angles (deg): 60.17 60.17 90.00
Closest atoms and distances in Å follow each position.
Element x y z (fractional)
I1 0.2524 0.2524 0.0000  1 Sb 3.08, 1 Bi 3.15
I2 0.7480 0.7480 0.5039  1 Sb 3.12, 1 Bi 3.17
I3 0.2520 0.2520 0.4961  1 Sb 3.12, 1 Bi 3.17
I4 0.7476 0.7476 0.0000  1 Sb 3.08, 1 Bi 3.15
I5 0.2524 0.7476 0.0000  1 Sb 3.08, 1 Bi 3.15
I6 0.7476 0.2524 0.0000  1 Sb 3.08, 1 Bi 3.15
Bi1 0.0000 0.0000 0.0000  6 I 3.15-3.17
Rb1 0.7500 0.2500 0.5000  12 I 4.41-4.43
Rb2 0.2500 0.7500 0.5000  12 I 4.41-4.43
Sb1 0.5000 0.5000 0.0000  6 I 3.08-3.12

Values from the calculation:
- electronic total energy (eV/atom) = -2.629
- space-group type = I4/mmm, No. 139
- density of states at the Fermi level (states/eV/atom) = 0.41
- size of the total moment (μB/cell) = 0.00

(5)
Below is an optimized crystal structure of RbBiSb2I, with properties calculated at the PBE level.

a b c (Å): 7.0719 7.0719 6.4360
angles (deg): 90.00 90.00 90.00
Closest atoms and distances in Å follow each position.
Element x y z (fractional)
Bi1 0.5000 0.5000 0.5000  8 Sb 4.78, 4 I 5.00
Sb1 0.5000 0.0000 0.0000  2 Rb 3.54
Sb2 0.0000 0.5000 0.0000  2 Rb 3.54
Rb1 0.0000 0.0000 0.0000  2 I 3.22, 4 Sb 3.54
I1 0.0000 0.0000 0.5000  2 Rb 3.22

Values from the calculation:
- electronic total energy (eV/atom) = -1.907
- space-group type = P4/mmm, No. 123
- density of states at the Fermi level (states/eV/atom) = 0.65
- energy relative to the lowest polymorph listed for this composition (meV/atom) = 954
- size of the total moment (μB/cell) = 3.05

(6)
Below is an optimized crystal structure of RbBiSeI2, with properties calculated at the PBE level.

a b c (Å): 6.3476 6.3476 5.5339
angles (deg): 90.00 90.00 90.00
Closest atoms and distances in Å follow each position.
Element x y z (fractional)
Se1 0.0000 0.0000 0.5000  2 Bi 2.77
Bi1 0.0000 0.0000 0.0000  2 Se 2.77
I1 0.5000 0.0000 0.0000  2 Bi 3.17
I2 0.0000 0.5000 0.0000  2 Bi 3.17
Rb1 0.5000 0.5000 0.5000  8 I 4.21, 4 Se 4.49

Values from the calculation:
- electronic total energy (eV/atom) = -2.938
- space-group type = P4/mmm, No. 123
- density of states at the Fermi level (states/eV/atom) = 0.25
- size of the total moment (μB/cell) = 0.00

(7)
Below is an optimized crystal structure of Rb2SiBiI6, with properties calculated at the PBE level.

a b c (Å): 8.5677 8.5677 8.5744
angles (deg): 60.03 60.03 90.00
Closest atoms and distances in Å follow each position.
Element x y z (fractional)
I1 0.7403 0.7403 0.5194  1 Si 2.92, 1 Bi 3.15
I2 0.7400 0.2600 0.0000  1 Si 2.91, 1 Bi 3.15
I3 0.2600 0.2600 0.0000  1 Si 2.91, 1 Bi 3.15
I4 0.2597 0.2597 0.4806  1 Si 2.92, 1 Bi 3.15
I5 0.7400 0.7400 0.0000  1 Si 2.91, 1 Bi 3.15
I6 0.2600 0.7400 0.0000  1 Si 2.91, 1 Bi 3.15
Si1 0.5000 0.5000 0.0000  6 I 2.91-2.92
Rb1 0.2500 0.7500 0.5000  12 I 4.29
Rb2 0.7500 0.2500 0.5000  12 I 4.29
Bi1 0.0000 0.0000 0.0000  6 I 3.15

Values from the calculation:
- electronic total energy (eV/atom) = -2.729
- space-group type = I4/mmm, No. 139
- density of states at the Fermi level (states/eV/atom) = 0.46
- size of the total moment (μB/cell) = 0.00

(8)
Below is an optimized crystal structure of Rb2SnBiI6, with properties calculated at the PBE level.

a b c (Å): 8.8652 8.8652 8.8779
angles (deg): 60.05 60.05 90.00
Closest atoms and distances in Å follow each position.
Element x y z (fractional)
Sn1 0.5000 0.5000 0.0000  6 I 3.12-3.14
Rb1 0.7500 0.2500 0.5000  12 I 4.43-4.44
Rb2 0.2500 0.7500 0.5000  12 I 4.43-4.44
I1 0.2508 0.2508 0.0000  1 Sn 3.12, 1 Bi 3.14
I2 0.2508 0.7492 0.0000  1 Sn 3.12, 1 Bi 3.14
I3 0.7492 0.7492 0.0000  1 Sn 3.12, 1 Bi 3.14
I4 0.7492 0.2508 0.0000  1 Sn 3.12, 1 Bi 3.14
I5 0.2506 0.2506 0.4988  1 Sn 3.14, 1 Bi 3.15
I6 0.7494 0.7494 0.5012  1 Sn 3.14, 1 Bi 3.15
Bi1 0.0000 0.0000 0.0000  6 I 3.14-3.15

Values from the calculation:
- electronic total energy (eV/atom) = -2.702
- space-group type = I4/mmm, No. 139
- density of states at the Fermi level (states/eV/atom) = 0.50
- size of the total moment (μB/cell) = 0.00

(9)
Below is an optimized crystal structure of RbSnBiI6, with properties calculated at the PBE level.

a b c (Å): 8.1396 8.1396 8.1203
angles (deg): 90.00 90.00 60.00
Closest atoms and distances in Å follow each position.
Element x y z (fractional)
I1 0.6233 0.0090 0.2726  1 Bi 3.12, 1 Sn 3.21
I2 0.3677 0.0090 0.7274  1 Bi 3.12, 1 Sn 3.21
I3 0.6233 0.3678 0.7275  1 Bi 3.12, 1 Sn 3.21
I4 0.0089 0.6234 0.7274  1 Bi 3.12, 1 Sn 3.21
I5 0.0089 0.3677 0.2725  1 Bi 3.12, 1 Sn 3.21
I6 0.3677 0.6233 0.2725  1 Bi 3.12, 1 Sn 3.21
Rb1 0.0000 0.0000 0.0000  6 I 3.75
Bi1 0.3333 0.3333 0.5000  6 I 3.12
Sn1 0.6666 0.6667 0.5000  6 I 3.21

Values from the calculation:
- electronic total energy (eV/atom) = -2.721
- space-group type = P312, No. 149
- density of states at the Fermi level (states/eV/atom) = 0.00
- size of the total moment (μB/cell) = 0.00

(10)
Below is an optimized crystal structure of Rb2SrBiI6, with properties calculated at the PBE level.

a b c (Å): 8.9108 8.9108 9.3357
angles (deg): 61.49 61.49 90.00
Closest atoms and distances in Å follow each position.
Element x y z (fractional)
I1 0.7570 0.7570 0.0000  1 Bi 3.06, 1 Sr 3.24
I2 0.2667 0.2667 0.4666  1 Sr 3.21
I3 0.7333 0.7333 0.5334  1 Sr 3.21
I4 0.2430 0.2430 0.0000  1 Bi 3.06, 1 Sr 3.24
I5 0.7570 0.2430 0.0000  1 Bi 3.06, 1 Sr 3.24
I6 0.2430 0.7570 0.0000  1 Bi 3.06, 1 Sr 3.24
Rb1 0.7500 0.2500 0.5000  12 I 4.46-4.67
Rb2 0.2500 0.7500 0.5000  12 I 4.46-4.67
Sr1 0.5000 0.5000 0.0000  6 I 3.21-3.24
Bi1 0.0000 0.0000 0.0000  4 I 3.06

Values from the calculation:
- electronic total energy (eV/atom) = -2.751
- space-group type = I4/mmm, No. 139
- density of states at the Fermi level (states/eV/atom) = 0.00
- size of the total moment (μB/cell) = 1.00

(11)
Below is an optimized crystal structure of Rb2TcBiI6, with properties calculated at the PBE level.

a b c (Å): 8.5394 8.5394 8.5711
angles (deg): 60.12 60.12 90.00
Closest atoms and distances in Å follow each position.
Element x y z (fractional)
I1 0.2631 0.2631 0.0000  1 Tc 2.86, 1 Bi 3.18
I2 0.7369 0.2631 0.0000  1 Tc 2.86, 1 Bi 3.18
I3 0.7369 0.7369 0.0000  1 Tc 2.86, 1 Bi 3.18
I4 0.2635 0.2635 0.4730  1 Tc 2.88, 1 Bi 3.21
I5 0.2631 0.7369 0.0000  1 Tc 2.86, 1 Bi 3.18
I6 0.7365 0.7365 0.5270  1 Tc 2.88, 1 Bi 3.21
Rb1 0.2500 0.7500 0.5000  12 I 4.27-4.29
Rb2 0.7500 0.2500 0.5000  12 I 4.27-4.29
Tc1 0.5000 0.5000 0.0000  6 I 2.86-2.88
Bi1 0.0000 0.0000 0.0000  6 I 3.18-3.21

Values from the calculation:
- electronic total energy (eV/atom) = -3.067
- space-group type = I4/mmm, No. 139
- density of states at the Fermi level (states/eV/atom) = 0.49
- size of the total moment (μB/cell) = 3.62

(12)
Below is an optimized crystal structure of RbBiTe2I, with properties calculated at the PBE level.

a b c (Å): 6.2930 6.2930 6.2812
angles (deg): 90.00 90.00 90.00
Closest atoms and distances in Å follow each position.
Element x y z (fractional)
Rb1 0.0000 0.0000 0.0000  2 I 3.14, 4 Te 3.15
Bi1 0.5000 0.5000 0.5000  8 Te 4.45, 4 I 4.45
Te1 0.5000 0.0000 0.0000  2 Rb 3.15
Te2 0.0000 0.5000 0.0000  2 Rb 3.15
I1 0.0000 0.0000 0.5000  2 Rb 3.14

Values from the calculation:
- electronic total energy (eV/atom) = -1.763
- space-group type = P4/mmm, No. 123
- density of states at the Fermi level (states/eV/atom) = 2.04
- energy relative to the lowest polymorph listed for this composition (meV/atom) = 1129
- size of the total moment (μB/cell) = 1.18

Question: Number 12 is which compound?
Answer: RbBiTe2I

Question: Which value of electronic total energy does entry 4 give?
Answer: -2.629 eV/atom

Repeat the sixth record exactly.
Below is an optimized crystal structure of RbBiSeI2, with properties calculated at the PBE level.

a b c (Å): 6.3476 6.3476 5.5339
angles (deg): 90.00 90.00 90.00
Closest atoms and distances in Å follow each position.
Element x y z (fractional)
Se1 0.0000 0.0000 0.5000  2 Bi 2.77
Bi1 0.0000 0.0000 0.0000  2 Se 2.77
I1 0.5000 0.0000 0.0000  2 Bi 3.17
I2 0.0000 0.5000 0.0000  2 Bi 3.17
Rb1 0.5000 0.5000 0.5000  8 I 4.21, 4 Se 4.49

Values from the calculation:
- electronic total energy (eV/atom) = -2.938
- space-group type = P4/mmm, No. 123
- density of states at the Fermi level (states/eV/atom) = 0.25
- size of the total moment (μB/cell) = 0.00